Entry 1:
Cd2TcAu: optimized geometry, PBE.

* E_tot: -14.4 eV/f.u.
* symmetry: R3m, No. 160
* formation energy: 0.256 eV per atom
* calculated density: 11.75 g/cm³
* total magnetic moment: 0.0 Bohr magnetons per cell

```
4
Lattice="1.464 0.845 9.885 -1.464 0.845 9.885 0.000 -1.691 9.885" Properties=species:S:1:pos:R:3 pbc="T T T"
Cd 0.000 0.000 0.000
Cd 0.000 0.000 7.125
Tc 0.000 0.000 22.126
Au 0.000 0.000 14.487
```


Entry 2:
Re4PtW: optimized geometry, PBE.

* E_tot: -67.0 eV/f.u.
* symmetry: F-43m, No. 216
* formation energy: 0.300 eV per atom
* calculated density: 19.45 g/cm³
* total magnetic moment: 0.0 Bohr magnetons per cell

```
6
Lattice="0.000 3.633 3.633 3.633 0.000 3.633 3.633 3.633 0.000" Properties=species:S:1:pos:R:3 pbc="T T T"
Re 2.734 2.734 2.734
Re 4.532 4.532 2.734
Re 4.532 2.734 4.532
Re 2.734 4.532 4.532
Pt 5.450 5.450 5.450
W 0.000 0.000 0.000
```


Entry 3:
TlSbAu: optimized geometry, PBE.

* E_tot: -10.1 eV/f.u.
* energy relative to the elements, uncorrected: -0.302 eV per formula unit
* symmetry: Pna2_1, No. 33
* calculated density: 10.48 g/cm³
* total magnetic moment: 0.0 Bohr magnetons per cell

```
24
Lattice="6.717 0.000 0.000 0.000 14.868 0.000 0.000 0.000 6.641" Properties=species:S:1:pos:R:3 pbc="T T T"
Tl 0.464 3.048 0.000
Tl 0.859 14.431 1.836
Tl 2.500 6.997 5.156
Tl 2.894 10.482 3.321
Tl 3.823 4.386 0.000
Tl 4.217 7.871 1.836
Tl 5.858 0.437 5.156
Tl 6.252 11.820 3.321
Sb 0.680 6.345 1.798
Sb 1.071 10.117 0.163
Sb 2.288 2.683 3.483
Sb 2.679 13.779 5.119
Sb 4.038 1.089 1.798
Sb 4.429 12.185 0.163
Sb 5.646 4.751 3.483
Sb 6.037 8.523 5.119
Au 0.293 9.027 2.581
Au 0.310 12.727 6.087
Au 3.049 5.293 2.766
Au 3.065 1.593 5.902
Au 3.651 13.275 2.581
Au 3.668 9.575 6.087
Au 6.407 2.141 2.766
Au 6.424 5.841 5.902
```